Entry from Alexandria via LeMat-Bulk: a relaxed UTa3 crystal (GGA-PBE).

The space group is Fm-3m (No. 225) and the conventional cell measures 6.7288, 6.7288 and 6.7288 Å, with angles of 90.00, 90.00 and 90.00 degrees. The distinct sites, in fractional coordinates, are U at (0.0000, 0.0000, 0.0000), Ta at (0.0000, 0.0000, 0.5000) and Ta at (0.2500, 0.2500, 0.2500).

The calculation puts the formation energy at 0.8 eV/f.u. The energy above the most stable polymorph in this dataset comes out at 0 meV per atom.